1.
Computed, not measured: a relaxed structure of Ag2Pt3 at the PBE-GGA level of DFT.

## Properties
Energy of formation from the pure elements in kJ/mol of atoms: 2
Calculated volume in Å³ per cell: 328
Offset from the most stable computed form in kJ/mol of formula units: 31
Crystal system: monoclinic

Cell: 4.880 14.552 4.892 Å, 90.00 109.03 90.00°
Space group C2/c (No. 15)
Inequivalent atoms, fractional coordinates:
Ag1 0.000 0.153 0.250 [4 per cell]
Ag2 0.000 0.251 0.750 [4 per cell]
Pt1 0.000 0.050 0.750 [4 per cell]
Pt2 0.000 0.360 0.250 [4 per cell]
Pt3 0.000 0.452 0.750 [4 per cell]



2.
Computed, not measured: a relaxed structure of Ag7Pt4 at the PBE-GGA level of DFT.

## Properties
Energy of formation from the pure elements in kJ/mol of atoms: 2
Calculated volume in Å³ per cell: 186
Offset from the most stable computed form in kJ/mol of formula units: 10
Crystal system: triclinic

Cell: 4.917 5.049 7.651 Å, 89.82 84.33 79.64°
Space group P-1 (No. 2)
Inequivalent atoms, fractional coordinates:
Ag1 0.000 0.000 0.000 [1 per cell]
Ag2 0.181 0.633 0.278 [2 per cell]
Ag3 0.276 0.454 0.906 [2 per cell]
Ag4 0.364 0.270 0.541 [2 per cell]
Pt1 0.086 0.830 0.644 [2 per cell]
Pt2 0.455 0.091 0.179 [2 per cell]



3.
Computed, not measured: a relaxed structure of AgPt at the PBE-GGA level of DFT.

## Properties
Energy of formation from the pure elements in kJ/mol of atoms: 0
Calculated volume in Å³ per cell: 67
Crystal system: orthorhombic

Cell: 2.830 4.764 4.934 Å, 90.00 90.00 90.00°
Space group Pmmn (No. 59, origin choice 2)
Inequivalent atoms, fractional coordinates:
Ag1 0.250 0.250 0.044 [2 per cell]
Pt1 0.250 0.750 0.464 [2 per cell]



4.
Computed, not measured: a relaxed structure of Ag5Pt7 at the PBE-GGA level of DFT.

## Properties
Energy of formation from the pure elements in kJ/mol of atoms: 4
Calculated volume in Å³ per cell: 395
Offset from the most stable computed form in kJ/mol of formula units: 54
Crystal system: orthorhombic

Cell: 5.725 17.199 4.007 Å, 90.00 90.00 90.00°
Space group Cmmm (No. 65)
Inequivalent atoms, fractional coordinates:
Ag1 0.000 0.000 0.000 [2 per cell]
Ag2 0.000 0.167 0.000 [4 per cell]
Ag3 0.250 0.250 0.500 [4 per cell]
Pt1 0.000 0.339 0.000 [4 per cell]
Pt2 0.000 0.500 0.000 [2 per cell]
Pt3 0.242 0.418 0.500 [8 per cell]



5.
Computed, not measured: a relaxed structure of Ag5Pt at the PBE-GGA level of DFT.

## Properties
Energy of formation from the pure elements in kJ/mol of atoms: 24
Calculated volume in Å³ per cell: 441
Offset from the most stable computed form in kJ/mol of formula units: 137
Crystal system: cubic

Cell: 7.613 7.613 7.613 Å, 90.00 90.00 90.00°
Space group F-43m (No. 216)
Inequivalent atoms, fractional coordinates:
Ag1 0.000 0.000 0.000 [4 per cell]
Ag2 0.125 0.125 0.375 [16 per cell]
Pt1 0.250 0.250 0.750 [4 per cell]



6.
Computed, not measured: a relaxed structure of Ag3Pt2 at the PBE-GGA level of DFT.

## Properties
Energy of formation from the pure elements in kJ/mol of atoms: 3
Calculated volume in Å³ per cell: 336
Offset from the most stable computed form in kJ/mol of formula units: 41
Crystal system: monoclinic

Cell: 14.785 4.039 5.762 Å, 90.00 102.54 90.00°
Space group Cm (No. 8)
Inequivalent atoms, fractional coordinates:
Ag1 0.000 0.000 0.000 [2 per cell]
Ag2 0.001 0.000 0.502 [2 per cell]
Ag3 0.198 0.000 0.101 [2 per cell]
Ag4 0.299 0.500 0.393 [2 per cell]
Ag5 0.397 0.000 0.698 [2 per cell]
Ag6 0.399 0.000 0.192 [2 per cell]
Pt1 0.100 0.500 0.803 [2 per cell]
Pt2 0.101 0.500 0.309 [2 per cell]
Pt3 0.197 0.000 0.603 [2 per cell]
Pt4 0.294 0.500 0.886 [2 per cell]



Q: calculated volume of number 3 (AgPt)?
A: 67 Å³ per cell